Pr2NiAgGe2: optimized geometry, PBE.

Geometry as extended XYZ:
```
6
Lattice="4.348 0.000 0.000 -2.174 3.765 0.000 0.000 0.000 8.181" Properties=species:S:1:pos:R:3 pbc="T T T"
Pr 0.000 0.000 0.000
Pr 0.000 0.000 3.852
Ni 0.000 2.510 1.929
Ag 2.174 1.255 6.022
Ge 0.000 2.510 6.011
Ge 2.174 1.255 1.923
```

Calculated values
- final energy (eV/atom) = -5.15
- magnetization (μB per cell) = 0.02

---

Pr2NiAgGe2: optimized geometry, PBE.

Geometry as extended XYZ:
```
6
Lattice="4.347 0.000 0.000 -2.173 3.764 0.000 0.000 0.000 8.205" Properties=species:S:1:pos:R:3 pbc="T T T"
Pr 0.000 0.000 1.922
Pr 0.000 0.000 6.283
Ni 2.173 1.255 0.000
Ag 0.000 2.510 4.102
Ge 0.000 2.510 0.000
Ge 2.173 1.255 4.102
```

Calculated values
- final energy (eV/atom) = -5.15
- magnetization (μB per cell) = 0.01

---

PrNiAgGe2: optimized geometry, PBE.

Geometry as extended XYZ:
```
10
Lattice="4.274 0.000 0.000 0.000 4.274 0.000 0.000 0.000 10.450" Properties=species:S:1:pos:R:3 pbc="T T T"
Pr 0.000 0.000 0.000
Pr 2.137 2.137 5.225
Ni 0.000 2.137 7.837
Ni 2.137 0.000 2.612
Ag 0.000 2.137 2.612
Ag 2.137 0.000 7.837
Ge 0.000 0.000 3.967
Ge 0.000 0.000 6.483
Ge 2.137 2.137 1.258
Ge 2.137 2.137 9.192
```

Calculated values
- final energy (eV/atom) = -4.97
- magnetization (μB per cell) = 0.00

---

ScNiAgGe: optimized geometry, PBE.

Geometry as extended XYZ:
```
16
Lattice="6.363 0.000 0.000 0.000 6.363 0.000 0.000 0.000 6.363" Properties=species:S:1:pos:R:3 pbc="T T T"
Sc 0.000 0.000 0.000
Sc 0.000 3.182 3.182
Sc 3.182 0.000 3.182
Sc 3.182 3.182 0.000
Ni 0.000 0.000 3.182
Ni 0.000 3.182 0.000
Ni 3.182 0.000 0.000
Ni 3.182 3.182 3.182
Ag 1.591 1.591 4.773
Ag 1.591 4.773 1.591
Ag 4.773 1.591 1.591
Ag 4.773 4.773 4.773
Ge 1.591 1.591 1.591
Ge 1.591 4.773 4.773
Ge 4.773 1.591 4.773
Ge 4.773 4.773 1.591
```

Calculated values
- final energy (eV/atom) = -5.14
- magnetization (μB per cell) = 0.02

---

SrNiAgGe2: optimized geometry, PBE.

Geometry as extended XYZ:
```
10
Lattice="4.382 0.000 0.000 0.000 4.382 0.000 0.000 0.000 10.456" Properties=species:S:1:pos:R:3 pbc="T T T"
Sr 0.000 0.000 0.000
Sr 2.191 2.191 5.228
Ni 0.000 2.191 7.842
Ni 2.191 0.000 2.614
Ag 0.000 2.191 2.614
Ag 2.191 0.000 7.842
Ge 0.000 0.000 3.915
Ge 0.000 0.000 6.541
Ge 2.191 2.191 1.313
Ge 2.191 2.191 9.143
```

Calculated values
- final energy (eV/atom) = -4.21
- magnetization (μB per cell) = 0.01

---

NpAgGe: optimized geometry, PBE.

Geometry as extended XYZ:
```
12
Lattice="6.630 0.000 0.000 0.000 6.630 0.000 0.000 0.000 6.630" Properties=species:S:1:pos:R:3 pbc="T T T"
Np 0.000 0.000 0.000
Np 0.000 3.315 3.315
Np 3.315 0.000 3.315
Np 3.315 3.315 0.000
Ag 0.000 0.000 3.315
Ag 0.000 3.315 0.000
Ag 3.315 0.000 0.000
Ag 3.315 3.315 3.315
Ge 1.657 1.657 4.972
Ge 1.657 4.972 1.657
Ge 4.972 1.657 1.657
Ge 4.972 4.972 4.972
```

Calculated values
- final energy (eV/atom) = -6.58
- magnetization (μB per cell) = 16.01

---

NpAgGe: optimized geometry, PBE.

Geometry as extended XYZ:
```
12
Lattice="6.785 0.000 0.000 0.000 6.785 0.000 0.000 0.000 6.785" Properties=species:S:1:pos:R:3 pbc="T T T"
Np 0.000 0.000 0.000
Np 0.000 3.393 3.393
Np 3.393 0.000 3.393
Np 3.393 3.393 0.000
Ag 1.696 1.696 5.089
Ag 1.696 5.089 1.696
Ag 5.089 1.696 1.696
Ag 5.089 5.089 5.089
Ge 1.696 1.696 1.696
Ge 1.696 5.089 5.089
Ge 5.089 1.696 5.089
Ge 5.089 5.089 1.696
```

Calculated values
- final energy (eV/atom) = -6.20
- magnetization (μB per cell) = 15.66

---

AgGeO3: optimized geometry, PBE.

Geometry as extended XYZ:
```
10
Lattice="2.651 1.530 4.276 -2.651 1.530 4.276 0.000 -3.061 4.276" Properties=species:S:1:pos:R:3 pbc="T T T"
Ag 0.000 0.000 3.207
Ag 0.000 0.000 9.621
Ge 0.000 0.000 0.000
Ge 0.000 0.000 6.414
O -1.551 0.375 5.345
O -1.100 -1.156 7.483
O 0.451 -1.530 5.345
O -0.451 1.530 7.483
O 1.100 1.156 5.345
O 1.551 -0.375 7.483
```

Calculated values
- final energy (eV/atom) = -5.19

---

AgGeO3: optimized geometry, PBE.

Geometry as extended XYZ:
```
20
Lattice="5.325 0.000 0.000 0.000 7.310 0.000 0.000 0.000 5.343" Properties=species:S:1:pos:R:3 pbc="T T T"
Ag 0.031 1.827 0.004
Ag 2.632 5.482 2.675
Ag 2.694 1.827 2.668
Ag 5.294 5.482 5.339
Ge 0.000 0.000 2.672
Ge 0.000 3.655 2.672
Ge 2.663 0.000 0.000
Ge 2.663 3.655 0.000
O 0.086 5.482 2.892
O 0.932 3.770 0.931
O 0.932 7.195 0.931
O 1.730 0.115 3.603
O 1.730 3.540 3.603
O 2.577 1.827 0.220
O 2.749 5.482 5.123
O 3.595 3.770 1.740
O 3.595 7.195 1.740
O 4.393 0.115 4.412
O 4.393 3.540 4.412
O 5.239 1.827 2.451
```

Calculated values
- final energy (eV/atom) = -5.26

---

Ag4GeO4: optimized geometry, PBE.

Geometry as extended XYZ:
```
36
Lattice="6.427 0.000 0.000 -0.842 8.482 0.000 -0.481 -2.990 9.634" Properties=species:S:1:pos:R:3 pbc="T T T"
Ag 0.001 -0.549 2.385
Ag -0.443 0.997 8.295
Ag 0.138 2.001 3.600
Ag 0.320 4.233 8.875
Ag 1.691 -0.055 5.008
Ag 1.799 3.107 6.462
Ag 2.145 5.028 1.520
Ag 1.866 5.957 7.152
Ag 3.237 -0.465 2.482
Ag 2.958 0.464 8.113
Ag 3.304 2.385 3.172
Ag 3.412 5.547 4.626
Ag 4.783 1.259 0.759
Ag 4.965 3.491 6.034
Ag 5.546 4.495 1.339
Ag 5.102 6.041 7.248
Ge 0.386 5.210 4.228
Ge 1.551 1.936 0.562
Ge 3.552 3.556 9.071
Ge 4.717 0.282 5.405
O -0.207 1.221 5.646
O 0.141 2.554 1.483
O 0.269 6.318 5.632
O 0.828 -0.793 8.470
O 0.728 6.175 2.787
O 1.726 0.205 0.963
O 1.698 4.007 4.480
O 2.109 2.600 8.587
O 2.994 2.891 1.046
O 3.405 1.484 5.153
O 3.377 5.287 8.671
O 4.375 -0.683 6.847
O 4.275 6.285 1.164
O 4.834 -0.826 4.001
O 4.962 2.938 8.151
O 5.310 4.271 3.987
```

Calculated values
- final energy (eV/atom) = -4.55

---

Ag3GeO5: optimized geometry, PBE.

Geometry as extended XYZ:
```
18
Lattice="5.448 0.000 0.000 0.000 8.283 0.000 -0.686 0.000 5.555" Properties=species:S:1:pos:R:3 pbc="T T T"
Ag -0.270 0.000 2.665
Ag 0.234 2.249 0.525
Ag 2.030 5.831 2.303
Ag 2.732 1.689 3.253
Ag 4.527 6.390 5.030
Ag 5.032 4.141 2.891
Ge 2.486 8.282 0.281
Ge 2.276 4.141 5.275
O 0.148 6.229 3.104
O 0.584 3.817 4.889
O 1.555 6.773 0.527
O 1.234 0.572 4.243
O 1.856 1.211 1.435
O 2.905 5.352 4.120
O 3.528 4.713 1.313
O 3.207 2.632 5.029
O 4.178 7.959 0.666
O 4.613 2.088 2.451
```

Calculated values
- final energy (eV/atom) = -4.70

---

AgGe2O4: optimized geometry, PBE.

Geometry as extended XYZ:
```
14
Lattice="0.000 4.413 4.413 4.413 0.000 4.413 4.413 4.413 0.000" Properties=species:S:1:pos:R:3 pbc="T T T"
Ag 1.103 1.103 1.103
Ag 7.722 7.722 7.722
Ge 4.413 2.206 2.206
Ge 2.206 4.413 2.206
Ge 2.206 2.206 4.413
Ge 4.413 4.413 4.413
O 2.402 2.402 2.402
O 4.216 4.216 2.402
O 4.216 2.402 4.216
O 6.423 4.609 4.609
O 2.402 4.216 4.216
O 4.609 6.423 4.609
O 4.609 4.609 6.423
O 6.423 6.423 6.423
```

Calculated values
- final energy (eV/atom) = -5.56

---

AgGeO3: optimized geometry, PBE.

Geometry as extended XYZ:
```
5
Lattice="3.567 0.000 0.000 0.000 3.567 0.000 0.000 0.000 4.359" Properties=species:S:1:pos:R:3 pbc="T T T"
Ag 0.000 0.000 0.000
Ge 1.783 1.783 2.109
O 0.000 1.783 2.581
O 1.783 0.000 2.581
O 1.783 1.783 0.328
```

Calculated values
- final energy (eV/atom) = -5.14

---

AgGeO3: optimized geometry, PBE.

Geometry as extended XYZ:
```
10
Lattice="2.557 1.477 5.072 -2.557 1.477 5.072 0.000 -2.953 5.072" Properties=species:S:1:pos:R:3 pbc="T T T"
Ag 0.000 0.000 2.140
Ag 0.000 0.000 13.077
Ge 0.000 0.000 5.185
Ge 0.000 0.000 10.031
O -1.622 -0.239 6.120
O -0.604 -1.524 9.096
O 1.018 -1.286 6.120
O -1.018 1.286 9.096
O 0.604 1.524 6.120
O 1.622 0.239 9.096
```

Calculated values
- final energy (eV/atom) = -5.35

---

Ag2GeO3: optimized geometry, PBE.

Geometry as extended XYZ:
```
24
Lattice="4.660 0.000 0.000 0.000 7.077 0.000 0.000 0.000 10.462" Properties=species:S:1:pos:R:3 pbc="T T T"
Ag 0.086 0.744 2.865
Ag 0.442 0.898 6.518
Ag 1.888 6.179 1.287
Ag 2.244 6.333 8.096
Ag 2.416 2.794 7.597
Ag 2.772 2.640 3.944
Ag 4.218 4.436 9.175
Ag 4.574 4.283 2.366
Ge 0.145 4.464 5.912
Ge 2.185 2.613 0.681
Ge 2.475 6.152 4.550
Ge 4.515 0.925 9.781
O 0.625 6.463 10.032
O 0.959 4.543 7.478
O 0.998 2.323 9.819
O 1.332 4.754 4.588
O 1.371 2.534 2.247
O 1.705 0.614 4.801
O 2.955 4.152 0.430
O 3.289 6.072 2.984
O 3.328 1.215 0.643
O 3.662 5.861 5.874
O 3.701 1.005 8.215
O 4.035 2.925 5.661
```

Calculated values
- final energy (eV/atom) = -5.04

---

AgGeO6: optimized geometry, PBE.

Geometry as extended XYZ:
```
8
Lattice="0.000 3.555 3.555 3.555 0.000 3.555 3.555 3.555 0.000" Properties=species:S:1:pos:R:3 pbc="T T T"
Ag 0.000 0.000 0.000
Ge 1.777 1.777 1.777
O 5.332 5.332 3.646
O 5.332 3.646 5.332
O 7.019 5.332 5.332
O 3.646 5.332 5.332
O 5.332 7.019 5.332
O 5.332 5.332 7.019
```

Calculated values
- final energy (eV/atom) = -3.99

---

Ag5GeO4: optimized geometry, PBE.

Geometry as extended XYZ:
```
40
Lattice="6.449 0.000 0.000 0.000 9.933 0.000 -6.190 0.000 9.195" Properties=species:S:1:pos:R:3 pbc="T T T"
Ag -2.056 0.846 3.753
Ag -5.151 4.120 8.351
Ag -1.328 6.177 3.901
Ag -4.423 8.722 8.499
Ag -2.881 0.964 7.382
Ag 0.214 4.002 2.784
Ag 1.872 1.237 0.555
Ag -1.223 3.729 5.153
Ag 1.810 6.371 1.078
Ag -1.285 8.529 5.676
Ag 1.544 1.404 3.520
Ag -1.551 3.562 8.117
Ag 1.482 6.204 4.042
Ag -1.613 8.695 8.640
Ag 0.045 5.931 6.411
Ag 3.140 8.969 1.813
Ag 4.682 1.211 0.696
Ag 1.587 3.756 5.294
Ag 5.410 5.813 0.844
Ag 2.315 9.087 5.442
Ge -3.099 6.091 6.975
Ge -0.004 8.809 2.377
Ge 0.262 1.124 6.818
Ge 3.358 3.842 2.220
O -3.147 7.029 5.457
O -0.052 7.870 0.859
O -4.602 6.392 7.900
O -1.507 8.507 3.303
O 0.027 0.638 2.075
O -3.068 4.328 6.672
O -1.195 1.537 5.889
O 1.900 3.429 1.291
O -1.641 6.504 7.904
O 1.454 8.396 3.306
O 3.327 5.605 2.523
O 0.232 9.295 7.121
O 1.766 1.426 5.892
O 4.861 3.540 1.295
O 0.311 2.062 8.336
O 3.406 2.904 3.739
```

Calculated values
- final energy (eV/atom) = -4.40

---

AgGePO: optimized geometry, PBE.

Geometry as extended XYZ:
```
8
Lattice="3.789 0.000 0.000 0.000 3.789 0.000 0.000 0.000 9.265" Properties=species:S:1:pos:R:3 pbc="T T T"
Ag 0.947 2.842 0.000
Ag 2.842 0.947 0.000
Ge 0.947 0.947 3.634
Ge 2.842 2.842 5.631
P 0.947 0.947 7.558
P 2.842 2.842 1.707
O 0.947 2.842 4.633
O 2.842 0.947 4.633
```

Calculated values
- final energy (eV/atom) = -4.56

---

AgGePO: optimized geometry, PBE.

Geometry as extended XYZ:
```
8
Lattice="3.328 0.000 0.000 0.000 6.725 0.000 0.000 0.000 6.316" Properties=species:S:1:pos:R:3 pbc="T T T"
Ag 0.000 0.958 0.000
Ag 0.000 5.767 3.158
Ge 1.664 2.190 2.837
Ge 1.664 4.536 5.994
P 1.664 2.348 5.181
P 1.664 4.377 2.023
O 0.000 1.332 2.404
O 0.000 5.393 5.562
```

Calculated values
- final energy (eV/atom) = -4.75

---

AgGePO: optimized geometry, PBE.

Geometry as extended XYZ:
```
8
Lattice="4.309 0.000 0.000 0.000 4.309 0.000 0.000 0.000 8.009" Properties=species:S:1:pos:R:3 pbc="T T T"
Ag 1.077 1.077 0.359
Ag 3.232 3.232 7.651
Ge 1.077 3.232 4.005
Ge 3.232 1.077 4.005
P 1.077 1.077 5.233
P 3.232 3.232 2.777
O 1.077 3.232 0.000
O 3.232 1.077 0.000
```

Calculated values
- final energy (eV/atom) = -4.28

---

no.,theoretical density (Mg/m³)
1,7.4
2,7.3
3,7.9
4,7.3
5,6.6
6,9.5
7,8.9
8,7.3
9,7.3
10,7.2
11,6.3
12,6.1
13,6.8
14,6.6
15,6.5
16,5.1
17,7.6
18,5.7
19,5.3
20,5.1